(1)
VASP calculation (PBE-GGA) on a relaxed Mg2NiSb crystal.

Cell lengths 12.8147, 3.0501, 4.4171 Å; angles 90.00, 110.09, 90.00 degrees
Space group Cm (No. 8)
Symmetry-distinct sites (fractional):
1 Mg 0.0000 0.0000 0.0000 x2
2 Mg 0.1822 0.0000 0.6818 x2
3 Ni 0.4946 0.0000 0.4946 x2
4 Sb 0.3150 0.5000 0.3150 x2

Output
Crystal system: monoclinic
N(E_F) (states/eV per atom): 0.53
Formation energy from raw total energies (kJ/mol of atoms): -16.5

=====

(2)
VASP calculation (PBE-GGA) on a relaxed Ac3Ag2Pd crystal.

Cell lengths 4.4226, 6.4301, 14.1998 Å; angles 90.00, 90.00, 90.00 degrees
Space group Immm (No. 71)
Symmetry-distinct sites (fractional):
1 Ac 0.0000 0.0000 0.0000 x2
2 Ac 0.0000 0.0000 0.3495 x4
3 Ag 0.0000 0.5000 0.3260 x4
4 Pd 0.0000 0.5000 0.0000 x2

Output
Formation energy (eV/atom): -0.349
Crystal system: orthorhombic
N(E_F) (states/eV per atom): 0.74
Energy above the lowest structure with this stoichiometry (eV per formula unit): 0.33

=====

(3)
VASP calculation (PBE-GGA) on a relaxed Sc2IF crystal.

Cell lengths 6.7640, 6.7640, 6.7640 Å; angles 90.00, 90.00, 90.00 degrees
Space group Fm-3m (No. 225)
Symmetry-distinct sites (fractional):
1 Sc 0.2500 0.2500 0.2500 x8
2 I 0.0000 0.0000 0.0000 x4
3 F 0.0000 0.0000 0.5000 x4

Output
Crystal system: cubic
N(E_F) (states/eV per atom): 1.45
Formation energy from raw total energies (kJ/mol of atoms): -79.6
Energy above the lowest structure with this stoichiometry (eV per formula unit): 1.36

=====

(4)
VASP calculation (PBE-GGA) on a relaxed BaZn2Ni crystal.

Cell lengths 5.5884, 10.0041, 3.1927 Å; angles 90.00, 90.00, 90.00 degrees
Space group Cmmm (No. 65)
Symmetry-distinct sites (fractional):
1 Ba 0.0000 0.0000 0.0000 x2
2 Zn 0.2500 0.2500 0.5000 x4
3 Ni 0.0000 0.5000 0.0000 x2

Output
Formation energy (eV/atom): 0.477
Crystal system: orthorhombic
N(E_F) (states/eV per atom): 0.86

=====

(5)
VASP calculation (PBE-GGA) on a relaxed YZr4Hg5 crystal.

Cell lengths 3.5758, 3.5758, 17.6719 Å; angles 90.00, 90.00, 90.00 degrees
Space group P4/mmm (No. 123)
Symmetry-distinct sites (fractional):
1 Y 0.0000 0.0000 0.0000 x1
2 Zr 0.0000 0.0000 0.2085 x2
3 Zr 0.0000 0.0000 0.4022 x2
4 Hg 0.5000 0.5000 0.1101 x2
5 Hg 0.5000 0.5000 0.3053 x2
6 Hg 0.5000 0.5000 0.5000 x1

Output
Formation energy (eV/atom): -0.200
Crystal system: tetragonal
N(E_F) (states/eV per atom): 0.86

=====

(6)
VASP calculation (PBE-GGA) on a relaxed HfBeCo2W crystal.

Cell lengths 4.4295, 4.4295, 4.9086 Å; angles 90.00, 90.00, 90.00 degrees
Space group P4/mmm (No. 123)
Symmetry-distinct sites (fractional):
1 Hf 0.0000 0.0000 0.0000 x1
2 Be 0.5000 0.5000 0.5000 x1
3 Co 0.0000 0.5000 0.0000 x2
4 W 0.0000 0.0000 0.5000 x1

Output
Formation energy (eV/atom): 2.092
Crystal system: tetragonal
N(E_F) (states/eV per atom): 1.43

=====

Question: What is the N(E_F) in the second record?
Answer: 0.74 states/eV per atom

=====

Question: N(E_F) of number 6 (HfBeCo2W)?
Answer: 1.43 states/eV per atom